No. 1
A plane-wave DFT calculation with GGA-PBE was carried out for a relaxed structure of LaHg2Pb.

Cell lengths 4.7196, 4.7196, 11.6733 Å; angles 78.34, 78.34, 90.00 degrees
Closest atoms and distances in Å follow each position.
Fractional positions:
Pb1 0.7500 0.2500 0.5000  4 Hg 3.21, 4 La 3.34
Pb2 0.0000 0.0000 0.0000  4 Hg 3.21, 4 La 3.34
Hg1 0.6520 0.1250 0.2500  4 Hg 3.16-3.52, 2 Pb 3.21, 2 La 3.30
Hg2 0.8750 0.9020 0.7500  4 Hg 3.16-3.52, 2 Pb 3.21, 2 La 3.30
Hg3 0.3750 0.3480 0.7500  4 Hg 3.16-3.52, 2 Pb 3.21, 2 La 3.30
Hg4 0.0980 0.6250 0.2500  4 Hg 3.16-3.52, 2 Pb 3.21, 2 La 3.30
La1 0.5000 0.5000 0.0000  4 Hg 3.30, 4 Pb 3.34
La2 0.2500 0.7500 0.5000  4 Hg 3.30, 4 Pb 3.34

Computed properties:
- Formation energy from the elements: -0.2754 eV per atom

=====

No. 2
A plane-wave DFT calculation with GGA-PBE was carried out for a relaxed structure of La2HgPb.

Cell lengths 5.6561, 6.9101, 6.9101 Å; angles 67.68, 89.90, 89.90 degrees
Closest atoms and distances in Å follow each position.
Fractional positions:
Pb1 0.7507 0.3633 0.3633  8 La 3.39-3.52
Pb2 0.2493 0.6367 0.6367  8 La 3.39-3.52
La1 0.2506 0.1320 0.6228  4 Hg 3.33-3.59, 4 Pb 3.39-3.52
La2 0.7494 0.8680 0.3772  4 Hg 3.33-3.59, 4 Pb 3.39-3.52
La3 0.7494 0.3772 0.8680  4 Hg 3.33-3.59, 4 Pb 3.39-3.52
La4 0.2506 0.6228 0.1320  4 Hg 3.33-3.59, 4 Pb 3.39-3.52
Hg1 0.2490 0.1119 0.1119  8 La 3.33-3.59
Hg2 0.7510 0.8881 0.8881  8 La 3.33-3.59

Computed properties:
- Formation energy from the elements: -0.5543 eV per atom

=====

No. 3
A plane-wave DFT calculation with GGA-PBE was carried out for a relaxed structure of La2Hg2Pb.

Cell lengths 8.6877, 8.6877, 4.0252 Å; angles 90.00, 90.00, 90.00 degrees
Closest atoms and distances in Å follow each position.
Fractional positions:
La1 0.8270 0.3270 0.5000  6 Hg 3.19-3.31
La2 0.1730 0.6730 0.5000  6 Hg 3.19-3.31
La3 0.6730 0.8270 0.5000  6 Hg 3.19-3.31
La4 0.3270 0.1730 0.5000  6 Hg 3.19-3.31
Pb1 0.5000 0.5000 0.0000  4 Hg 3.43, 8 La 3.79
Pb2 0.0000 0.0000 0.0000  4 Hg 3.43, 8 La 3.79
Hg1 0.8750 0.6250 0.0000  1 Hg 3.07, 6 La 3.19-3.31, 2 Pb 3.43
Hg2 0.1250 0.3750 0.0000  1 Hg 3.07, 6 La 3.19-3.31, 2 Pb 3.43
Hg3 0.6250 0.1250 0.0000  1 Hg 3.07, 6 La 3.19-3.31, 2 Pb 3.43
Hg4 0.3750 0.8750 0.0000  1 Hg 3.07, 6 La 3.19-3.31, 2 Pb 3.43

Computed properties:
- Distance to the lowest polymorph of the same formula: 0.0000 eV/atom
- Formation energy from the elements: -0.4819 eV per atom

=====

No. 4
A plane-wave DFT calculation with GGA-PBE was carried out for a relaxed structure of La8Hg2Pb.

Cell lengths 5.1537, 8.5575, 9.4575 Å; angles 114.05, 105.81, 90.00 degrees
Closest atoms and distances in Å follow each position.
Fractional positions:
La1 0.1695 0.2561 0.3390  3 Hg 3.26-3.39
La2 0.6778 0.9518 0.3555  1 Hg 3.14, 1 Pb 3.43, 2 La 3.49
La3 0.8305 0.7439 0.6610  3 Hg 3.26-3.39
La4 0.5907 0.4579 0.1813  2 Hg 3.25, 2 La 3.46, 1 Pb 3.55
La5 0.9593 0.2464 0.9187  1 Hg 3.29, 4 La 3.46-3.49, 2 Pb 3.60
La6 0.3222 0.0482 0.6445  1 Hg 3.14, 1 Pb 3.43, 2 La 3.49
La7 0.4093 0.5421 0.8187  2 Hg 3.25, 2 La 3.46, 1 Pb 3.55
La8 0.0407 0.7536 0.0813  1 Hg 3.29, 4 La 3.46-3.49, 2 Pb 3.60
Hg1 0.1976 0.6581 0.3952  7 La 3.14-3.39
Hg2 0.8024 0.3419 0.6048  7 La 3.14-3.39
Pb1 0.5000 0.0000 0.0000  8 La 3.43-3.60

Computed properties:
- Distance to the lowest polymorph of the same formula: 0.0000 eV/atom
- Formation energy from the elements: -0.2934 eV per atom

=====

No. 5
A plane-wave DFT calculation with GGA-PBE was carried out for a relaxed structure of LaHgPb.

Cell lengths 6.6131, 6.6131, 6.6131 Å; angles 146.23, 146.24, 48.49 degrees
Closest atoms and distances in Å follow each position.
Fractional positions:
La1 0.3439 0.3439 0.0000  4 Hg 3.32, 4 Pb 3.56
Hg1 0.0030 0.0030 0.0000  4 Pb 3.26, 4 La 3.32
Pb1 0.6531 0.6531 0.0000  4 Hg 3.26, 4 La 3.56

Computed properties:
- Formation energy from the elements: -0.3814 eV per atom

=====

No. 6
A plane-wave DFT calculation with GGA-PBE was carried out for a relaxed structure of LaHg2Pb.

Cell lengths 5.8128, 5.8128, 5.8128 Å; angles 130.32, 130.26, 72.94 degrees
Closest atoms and distances in Å follow each position.
Fractional positions:
Hg1 0.0000 0.0000 0.0000  4 La 3.38, 4 Pb 3.38, 4 Hg 3.46
Hg2 0.5000 0.5000 0.0000  4 La 3.38, 4 Pb 3.38, 4 Hg 3.46
Pb1 0.7500 0.2500 0.5000  8 Hg 3.38, 4 La 3.46
La1 0.2500 0.7500 0.5000  8 Hg 3.38, 4 Pb 3.46

Computed properties:
- Formation energy from the elements: -0.4499 eV per atom

=====

No. 7
A plane-wave DFT calculation with GGA-PBE was carried out for a relaxed structure of La3Hg2Pb.

Cell lengths 3.9057, 5.5923, 8.9148 Å; angles 108.28, 90.00, 90.00 degrees
Closest atoms and distances in Å follow each position.
Fractional positions:
Pb1 0.0000 0.0000 0.0000  8 La 3.41-3.44
Hg1 0.0000 0.6734 0.3467  8 La 3.33-3.53
Hg2 0.0000 0.3266 0.6533  8 La 3.33-3.53
La1 0.5000 0.1675 0.3349  6 Hg 3.33-3.41, 2 Pb 3.44
La2 0.5000 0.8325 0.6651  6 Hg 3.33-3.41, 2 Pb 3.44
La3 0.5000 0.5000 0.0000  4 Pb 3.41, 4 Hg 3.53

Computed properties:
- Distance to the lowest polymorph of the same formula: 0.0000 eV/atom
- Formation energy from the elements: -0.5298 eV per atom

=====

No. 8
A plane-wave DFT calculation with GGA-PBE was carried out for a relaxed structure of La2HgPb.

Cell lengths 5.3805, 4.2863, 5.3818 Å; angles 89.97, 90.00, 90.00 degrees
Closest atoms and distances in Å follow each position.
Fractional positions:
La1 0.5000 0.1264 0.3740  4 Hg 3.43-3.45, 4 Pb 3.44, 4 La 3.80-3.81
La2 0.0000 0.1239 0.8759  4 Pb 3.44-3.45, 4 Hg 3.44, 4 La 3.80-3.81
Pb1 0.0000 0.6252 0.3763  8 La 3.44-3.45, 4 Hg 3.80-3.81
Hg1 0.5000 0.6245 0.8738  8 La 3.43-3.45, 4 Pb 3.80-3.81

Computed properties:
- Formation energy from the elements: -0.5553 eV per atom

=====

No. 9
A plane-wave DFT calculation with GGA-PBE was carried out for a relaxed structure of La2Hg3Pb.

Cell lengths 4.6895, 4.4047, 9.4369 Å; angles 103.50, 104.39, 90.00 degrees
Closest atoms and distances in Å follow each position.
Fractional positions:
Hg1 0.2882 0.7882 0.5763  2 Hg 2.74, 1 Pb 2.89
Hg2 0.5514 0.5514 0.1028  1 Hg 2.78, 2 Pb 2.83
Hg3 0.7079 0.7079 0.4157  3 Hg 2.74-2.78
La1 0.8822 0.3822 0.7645  4 Pb 3.44, 8 Hg 3.62-3.81
La2 0.1193 0.1193 0.2387  10 Hg 3.44-3.72, 2 Pb 3.80
Pb1 0.4510 0.9510 0.9021  3 Hg 2.83-2.89

Computed properties:
- Distance to the lowest polymorph of the same formula: 0.1182 eV/atom
- Formation energy from the elements: -0.3499 eV per atom

=====

No. 10
A plane-wave DFT calculation with GGA-PBE was carried out for a relaxed structure of La12HgPb3.

Cell lengths 5.0773, 5.0773, 20.1377 Å; angles 90.00, 90.00, 90.00 degrees
Closest atoms and distances in Å follow each position.
Fractional positions:
Pb1 0.0000 0.0000 0.2480  12 La 3.57-3.60
Pb2 0.0000 0.0000 0.7520  12 La 3.57-3.60
Pb3 0.0000 0.0000 0.5000  12 La 3.58-3.59
La1 0.5000 0.5000 0.0000  8 La 3.56, 4 Hg 3.59
La2 0.5000 0.0000 0.6254  8 La 3.58-3.60, 4 Pb 3.58-3.60
La3 0.5000 0.0000 0.1236  2 Hg 3.56, 8 La 3.56-3.59, 2 Pb 3.57
La4 0.5000 0.5000 0.7521  8 La 3.56-3.60, 4 Pb 3.59
La5 0.0000 0.5000 0.6254  8 La 3.58-3.60, 4 Pb 3.58-3.60
La6 0.5000 0.5000 0.2479  8 La 3.56-3.60, 4 Pb 3.59
La7 0.5000 0.5000 0.5000  8 La 3.58, 4 Pb 3.59
La8 0.5000 0.0000 0.3746  4 Pb 3.58-3.60, 8 La 3.58-3.60
La9 0.0000 0.5000 0.8764  8 La 3.56-3.59, 2 Hg 3.56, 2 Pb 3.57
La10 0.0000 0.5000 0.3746  4 Pb 3.58-3.60, 8 La 3.58-3.60
La11 0.0000 0.5000 0.1236  8 La 3.56-3.59, 2 Hg 3.56, 2 Pb 3.57
La12 0.5000 0.0000 0.8764  2 Hg 3.56, 8 La 3.56-3.59, 2 Pb 3.57
Hg1 0.0000 0.0000 0.0000  12 La 3.56-3.59

Computed properties:
- Formation energy from the elements: -0.3423 eV per atom

=====

No. 11
A plane-wave DFT calculation with GGA-PBE was carried out for a relaxed structure of La2HgPb.

Cell lengths 3.6688, 4.4316, 7.5651 Å; angles 90.00, 90.00, 90.00 degrees
Closest atoms and distances in Å follow each position.
Fractional positions:
La1 0.0000 0.0000 0.9976  4 Hg 3.43, 4 Pb 3.45, 4 La 3.67-3.82
La2 0.0000 0.0000 0.5024  4 Hg 3.43, 4 Pb 3.45, 4 La 3.67-3.82
Hg1 0.5000 0.5000 0.7500  8 La 3.43, 2 Hg 3.67, 2 Pb 3.78
Pb1 0.5000 0.5000 0.2500  8 La 3.45, 2 Pb 3.67, 2 Hg 3.78

Computed properties:
- Formation energy from the elements: -0.5506 eV per atom

=====

No. 12
A plane-wave DFT calculation with GGA-PBE was carried out for a relaxed structure of LaHgPb.

Cell lengths 5.1689, 6.4278, 6.4278 Å; angles 88.19, 66.29, 66.29 degrees
Closest atoms and distances in Å follow each position.
Fractional positions:
Hg1 0.2997 0.0141 0.3866  3 Pb 3.01, 1 Hg 3.06
Hg2 0.7003 0.6134 0.9859  3 Pb 3.01, 1 Hg 3.06
La1 0.5000 0.1544 0.8456  6 Hg 3.41-3.74, 6 Pb 3.49-3.57
La2 0.0000 0.6370 0.3630  6 Hg 3.39-3.69, 6 Pb 3.51-3.61
Pb1 0.7516 0.2287 0.2681  3 Hg 3.01
Pb2 0.2484 0.7319 0.7713  3 Hg 3.01

Computed properties:
- Formation energy from the elements: -0.4364 eV per atom

=====

No. 13
A plane-wave DFT calculation with GGA-PBE was carried out for a relaxed structure of La2HgPb.

Cell lengths 8.6083, 8.6083, 7.1492 Å; angles 52.98, 52.98, 90.00 degrees
Closest atoms and distances in Å follow each position.
Fractional positions:
La1 0.3750 0.3829 0.7500  2 Hg 3.14, 2 Pb 3.23
La2 0.6171 0.1250 0.2500  2 Hg 3.14, 2 Pb 3.23
La3 0.1329 0.6250 0.2500  2 Hg 3.14, 2 Pb 3.23
La4 0.8750 0.8671 0.7500  2 Hg 3.14, 2 Pb 3.23
Pb1 0.0000 0.0000 0.0000  4 La 3.23
Pb2 0.7500 0.2500 0.5000  4 La 3.23
Hg1 0.5000 0.5000 0.0000  4 La 3.14
Hg2 0.2500 0.7500 0.5000  4 La 3.14

Computed properties:
- Formation energy from the elements: -0.2871 eV per atom

=====

Number 1: calculated volume 249.16 Å³/cell. Number 2: calculated volume 249.83 Å³/cell. Number 3: calculated volume 303.81 Å³/cell. Number 4: calculated volume 363.54 Å³/cell. Number 5: calculated volume 88.94 Å³/cell. Number 6: calculated volume 111.60 Å³/cell. Number 7: calculated volume 184.89 Å³/cell. Number 8: calculated volume 124.12 Å³/cell. Number 9: calculated volume 183.25 Å³/cell. Number 10: calculated volume 519.13 Å³/cell. Number 11: calculated volume 123.00 Å³/cell. Number 12: calculated volume 176.87 Å³/cell. Number 13: calculated volume 277.86 Å³/cell.